## CrSb2TeF (GGA+U)

Data for CrSb2TeF after structural relaxation.

Properties
The volume comes out at 25.4 Å³/atom. Its electronic total energy is -18.34 eV for the cell shown. Its distance to the lowest polymorph of the same formula is 472 meV/atom.

Cell: 5.009 5.009 5.052 Å, 90.00 90.00 90.00°
Fractional coordinates of all 5 atoms:
Cr1 0.000 0.000 0.000
Sb1 0.000 0.500 0.000
Sb2 0.500 0.000 0.000
Te1 0.000 0.000 0.500
F1 0.500 0.500 0.500